Mn2PtAu, optimized geometry, DFT PBE; SG = P4/mmm; energy relative to the elements = -0.175 eV/atom; theoretical density = 13.2 g cm⁻³; volume = 63.1 Å³/cell; total moment = 8.39 μB per formula unit; crystal system = tetragonal; D(E_F) = 2.13 states/eV/f.u.; excess energy over the best structure of this formula in the dataset = 0 meV/atom
1.0
2.9347 0.0000 0.0000
0.0000 2.9347 0.0000
0.0000 0.0000 7.3247
Mn Pt Au
2 1 1
Direct
0.0000 0.0000 0.4896
0.0000 0.0000 0.0104
0.5000 0.5000 0.2500
0.5000 0.5000 0.7500